This record from Alexandria via LeMat-Bulk describes a relaxed structure of SrNbN2O. The functional is PBE.

The structure in POSCAR format:
```
SrNbN2O
1.0
4.240 0.000 0.000
0.000 4.240 0.000
0.000 0.000 4.382
Sr Nb N O
1 1 2 1
direct
0.000 0.000 0.000 Sr
0.500 0.500 0.500 Nb
0.000 0.500 0.000 N
0.500 0.000 0.000 N
0.000 0.000 0.500 O
```

Values from the calculation:
The value obtained for the volume is 15.76 Å³/atom. The calculated density comes out at 4.7 g cm⁻³. The value obtained for the uncorrected energy is -25.983 eV per cell. Its crystal system is tetragonal. The uncorrected formation energy comes out at 1.48 eV/atom.


This record from Alexandria via LeMat-Bulk describes a relaxed structure of SrNbN2O. The functional is PBE.

The structure in POSCAR format:
```
SrNbN2O
1.0
4.108 0.000 0.000
0.000 4.108 0.000
0.000 0.000 4.138
Sr Nb N O
1 1 2 1
direct
0.000 0.000 0.000 Sr
0.500 0.500 0.500 Nb
0.000 0.500 0.500 N
0.500 0.000 0.500 N
0.500 0.500 0.000 O
```

Values from the calculation:
The value obtained for the volume is 13.97 Å³/atom. The calculated density comes out at 5.3 g cm⁻³. The value obtained for the uncorrected energy is -39.775 eV per cell. Its crystal system is tetragonal. The uncorrected formation energy comes out at -1.28 eV/atom.


This record from Alexandria via LeMat-Bulk describes a relaxed structure of Sr10Nb5N5O14. The functional is PBE.

The structure in POSCAR format:
```
Sr10Nb5N5O14
1.0
6.419 -6.369 0.000
6.419 6.369 0.000
-6.373 0.000 6.492
Sr Nb N O
10 5 5 14
direct
0.055 0.348 0.798 Sr
0.143 0.857 0.000 Sr
0.259 0.546 0.597 Sr
0.348 0.055 0.798 Sr
0.454 0.741 0.403 Sr
0.546 0.259 0.597 Sr
0.652 0.945 0.202 Sr
0.741 0.454 0.403 Sr
0.857 0.143 0.000 Sr
0.945 0.652 0.202 Sr
0.100 0.100 0.399 Nb
0.300 0.300 0.198 Nb
0.500 0.500 0.000 Nb
0.700 0.700 0.802 Nb
0.900 0.900 0.601 Nb
0.105 0.105 0.891 N
0.293 0.293 0.702 N
0.500 0.500 0.500 N
0.707 0.707 0.298 N
0.895 0.895 0.109 N
0.071 0.750 0.589 O
0.133 0.455 0.204 O
0.192 0.192 0.293 O
0.250 0.929 0.411 O
0.337 0.663 0.000 O
0.409 0.409 0.113 O
0.455 0.133 0.204 O
0.545 0.867 0.796 O
0.591 0.591 0.887 O
0.663 0.337 0.000 O
0.750 0.071 0.589 O
0.808 0.808 0.707 O
0.867 0.545 0.796 O
0.929 0.250 0.411 O
```

Values from the calculation:
The value obtained for the volume is 15.61 Å³/atom. The calculated density comes out at 5.1 g cm⁻³. The value obtained for the uncorrected energy is -254.884 eV per cell. Its crystal system is monoclinic. The uncorrected formation energy comes out at -2.26 eV/atom.


This record from Alexandria via LeMat-Bulk describes a relaxed structure of Sr3Nb2N4O2. The functional is PBE.

The structure in POSCAR format:
```
Sr3Nb2N4O2
1.0
-2.044 2.044 10.305
2.044 -2.044 10.305
2.044 2.044 -10.305
Sr Nb N O
3 2 4 2
direct
0.000 0.000 0.000 Sr
0.179 0.179 0.000 Sr
0.821 0.821 0.000 Sr
0.396 0.396 0.000 Nb
0.604 0.604 0.000 Nb
0.087 0.587 0.500 N
0.413 0.913 0.500 N
0.587 0.087 0.500 N
0.913 0.413 0.500 N
0.301 0.301 0.000 O
0.699 0.699 0.000 O
```

Values from the calculation:
The value obtained for the volume is 15.66 Å³/atom. The calculated density comes out at 5.2 g cm⁻³. The value obtained for the uncorrected energy is -84.984 eV per cell. Its crystal system is tetragonal. The uncorrected formation energy comes out at -1.51 eV/atom.


This record from Alexandria via LeMat-Bulk describes a relaxed structure of TaNbN2O. The functional is PBE.

The structure in POSCAR format:
```
TaNbN2O
1.0
4.074 0.000 0.000
0.000 4.074 0.000
0.000 0.000 3.848
Ta Nb N O
1 1 2 1
direct
0.000 0.000 0.000 Ta
0.500 0.500 0.500 Nb
0.000 0.500 0.500 N
0.500 0.000 0.500 N
0.500 0.500 0.000 O
```

Values from the calculation:
The value obtained for the volume is 12.77 Å³/atom. The calculated density comes out at 8.3 g cm⁻³. The value obtained for the uncorrected energy is -43.716 eV per cell. Its crystal system is tetragonal. The uncorrected formation energy comes out at -0.04 eV/atom.


This record from Alexandria via LeMat-Bulk describes a relaxed structure of TaNbN2O. The functional is PBE.

The structure in POSCAR format:
```
TaNbN2O
1.0
4.067 0.000 0.000
0.000 4.067 0.000
0.000 0.000 3.863
Ta Nb N O
1 1 2 1
direct
0.000 0.000 0.000 Ta
0.500 0.500 0.500 Nb
0.000 0.500 0.000 N
0.500 0.000 0.000 N
0.000 0.000 0.500 O
```

Values from the calculation:
The value obtained for the volume is 12.78 Å³/atom. The calculated density comes out at 8.3 g cm⁻³. The value obtained for the uncorrected energy is -45.850 eV per cell. Its crystal system is tetragonal. The uncorrected formation energy comes out at -0.46 eV/atom.


This record from Alexandria via LeMat-Bulk describes a relaxed structure of NbTcN2O. The functional is PBE.

The structure in POSCAR format:
```
NbTcN2O
1.0
4.120 0.000 0.000
0.000 4.120 0.000
0.000 0.000 3.913
Nb Tc N O
1 1 2 1
direct
0.000 0.000 0.000 Nb
0.500 0.500 0.500 Tc
0.000 0.500 0.000 N
0.500 0.000 0.000 N
0.000 0.000 0.500 O
```

Values from the calculation:
The value obtained for the volume is 13.28 Å³/atom. The calculated density comes out at 5.9 g cm⁻³. The value obtained for the uncorrected energy is -40.903 eV per cell. Its crystal system is tetragonal. The uncorrected formation energy comes out at 0.23 eV/atom.


This record from Alexandria via LeMat-Bulk describes a relaxed structure of NbTcN2O. The functional is PBE.

The structure in POSCAR format:
```
NbTcN2O
1.0
3.868 0.000 0.000
0.000 3.868 0.000
0.000 0.000 3.837
Nb Tc N O
1 1 2 1
direct
0.000 0.000 0.000 Nb
0.500 0.500 0.500 Tc
0.000 0.500 0.500 N
0.500 0.000 0.500 N
0.500 0.500 0.000 O
```

Values from the calculation:
The value obtained for the volume is 11.48 Å³/atom. The calculated density comes out at 6.8 g cm⁻³. The value obtained for the uncorrected energy is -40.885 eV per cell. Its crystal system is tetragonal. The uncorrected formation energy comes out at 0.23 eV/atom.


This record from Alexandria via LeMat-Bulk describes a relaxed structure of NbTe2NO. The functional is PBE.

The structure in POSCAR format:
```
NbTe2NO
1.0
5.479 0.000 0.000
0.000 5.479 0.000
0.000 0.000 3.892
Nb Te N O
1 2 1 1
direct
0.000 0.000 0.000 Nb
0.000 0.500 0.000 Te
0.500 0.000 0.000 Te
0.000 0.000 0.500 N
0.500 0.500 0.500 O
```

Values from the calculation:
The value obtained for the volume is 23.36 Å³/atom. The calculated density comes out at 5.4 g cm⁻³. The value obtained for the uncorrected energy is -26.590 eV per cell. Its crystal system is tetragonal. The uncorrected formation energy comes out at 0.61 eV/atom. The value obtained for the energy above the most stable polymorph in this dataset is 0.000 eV/atom.


This record from Alexandria via LeMat-Bulk describes a relaxed structure of NbTeN2O. The functional is PBE.

The structure in POSCAR format:
```
NbTeN2O
1.0
3.871 0.000 0.000
0.000 3.871 0.000
0.000 0.000 6.054
Nb Te N O
1 1 2 1
direct
0.000 0.000 0.000 Nb
0.000 0.000 0.500 Te
0.000 0.500 0.000 N
0.500 0.000 0.000 N
0.500 0.500 0.500 O
```

Values from the calculation:
The value obtained for the volume is 18.15 Å³/atom. The calculated density comes out at 4.8 g cm⁻³. The value obtained for the uncorrected energy is -31.753 eV per cell. Its crystal system is tetragonal. The uncorrected formation energy comes out at 0.61 eV/atom.


This record from Alexandria via LeMat-Bulk describes a relaxed structure of NbTeN2O. The functional is PBE.

The structure in POSCAR format:
```
NbTeN2O
1.0
4.016 0.000 0.000
0.000 4.016 0.000
0.000 0.000 4.041
Nb Te N O
1 1 2 1
direct
0.000 0.000 0.000 Nb
0.500 0.500 0.000 Te
0.000 0.500 0.500 N
0.500 0.000 0.500 N
0.500 0.500 0.500 O
```

Values from the calculation:
The value obtained for the volume is 13.04 Å³/atom. The calculated density comes out at 6.7 g cm⁻³. The value obtained for the uncorrected energy is -27.013 eV per cell. Its crystal system is tetragonal. The uncorrected formation energy comes out at 1.56 eV/atom.


This record from Alexandria via LeMat-Bulk describes a relaxed structure of NbTeN2O. The functional is PBE.

The structure in POSCAR format:
```
NbTeN2O
1.0
4.092 0.000 0.000
0.000 4.092 0.000
0.000 0.000 3.920
Nb Te N O
1 1 2 1
direct
0.000 0.000 0.000 Nb
0.500 0.500 0.500 Te
0.000 0.500 0.500 N
0.500 0.000 0.500 N
0.500 0.500 0.000 O
```

Values from the calculation:
The value obtained for the volume is 13.13 Å³/atom. The calculated density comes out at 6.7 g cm⁻³. The value obtained for the uncorrected energy is -30.262 eV per cell. Its crystal system is tetragonal. The uncorrected formation energy comes out at 0.91 eV/atom.


> Which value of uncorrected energy does entry 4 give?

-84.984 eV per cell